# Sc2FeP

Sc2FeP after structural relaxation (PBE, Alexandria via LeMat-Bulk). Values from VASP.

energy of formation: -0.2055 eV per atom
crystal system: cubic
E: -27.4 eV/cell

Quantum ESPRESSO input file:
```
&SYSTEM
  ibrav = 0, nat = 4, ntyp = 3
/
ATOMIC_SPECIES
Sc 44.96 Sc.upf
Fe 55.84 Fe.upf
P 30.97 P.upf
CELL_PARAMETERS angstrom
-1.1047 3.2610 2.6767
-0.7204 3.9902 -1.6058
-4.0495 1.6167 -0.0881
ATOMIC_POSITIONS crystal
Sc 0.0000 0.0000 0.0000
Sc 0.7500 0.7500 0.7500
Fe 0.5000 0.5000 0.5000
P 0.2500 0.2500 0.2500
```